Below is a relaxed structure of VP2RhO, with properties calculated at the GGA+U level.

Crystal system ... tetragonal
ΔE to the lowest computed polymorph ... 579 meV/atom
DOS(E_F) ... 1.19 states/eV per atom

Cell: 4.759 4.759 3.656 Å, 90.00 90.00 90.00°
Each line ends with the local moment (μB).
Positions (direct):
P 0.000 0.500 0.000  0.02
P 0.500 0.000 0.000  0.02
Rh 0.000 0.000 0.000  0.04
O 0.000 0.000 0.500  0.01
V 0.500 0.500 0.500  -0.30